Record 1
The following is a DFT calculation (PBE) of an optimized crystal structure of LaY2Ge4.

Computed properties:
Electronic total energy in eV per atom: -5.990
Formation enthalpy at 0 K in kJ per mole of atoms: -77
Total magnetic moment in μB/f.u.: 0.00

a b c (Å): 9.671 9.671 9.671
angles (deg): 155.76 153.82 35.98
Fractional positions:
La: 0.000 0.000 0.000
Y: 0.182 0.682 0.500
Y: 0.818 0.318 0.500
Ge: 0.341 0.841 0.500
Ge: 0.431 0.431 0.000
Ge: 0.569 0.569 0.000
Ge: 0.659 0.159 0.500



Record 2
The following is a DFT calculation (PBE) of an optimized crystal structure of La2YGe2.

Computed properties:
Energy relative to the lowest polymorph listed for this composition in meV/atom: 370
Electronic total energy in eV per atom: -5.521
Formation enthalpy at 0 K in kJ per mole of atoms: -40
Total magnetic moment in μB/f.u.: 0.00

a b c (Å): 8.766 8.766 3.567
angles (deg): 90.00 90.00 90.00
Fractional positions:
La: 0.122 0.378 0.000
La: 0.378 0.878 0.000
La: 0.622 0.122 0.000
La: 0.878 0.622 0.000
Y: 0.000 0.000 0.000
Y: 0.500 0.500 0.000
Ge: 0.177 0.677 0.500
Ge: 0.323 0.177 0.500
Ge: 0.677 0.823 0.500
Ge: 0.823 0.323 0.500



Record 3
The following is a DFT calculation (PBE) of an optimized crystal structure of LaY3Ge.

Computed properties:
Electronic total energy in eV per atom: -4.857
Formation enthalpy at 0 K in kJ per mole of atoms: 90
Total magnetic moment in μB/f.u.: 0.00

a b c (Å): 5.536 5.536 5.536
angles (deg): 90.00 90.00 90.00
Fractional positions:
La: 0.000 0.000 0.000
Y: 0.000 0.000 0.500
Y: 0.000 0.500 0.000
Y: 0.500 0.000 0.000
Ge: 0.500 0.500 0.500



Record 4
The following is a DFT calculation (PBE) of an optimized crystal structure of La3YGe.

Computed properties:
Energy relative to the lowest polymorph listed for this composition in meV/atom: 708
Electronic total energy in eV per atom: -4.490
Formation enthalpy at 0 K in kJ per mole of atoms: 66
Total magnetic moment in μB/f.u.: 0.00

a b c (Å): 5.679 5.679 5.679
angles (deg): 90.00 90.00 90.00
Fractional positions:
La: 0.000 0.000 0.500
La: 0.000 0.500 0.000
La: 0.500 0.000 0.000
Y: 0.000 0.000 0.000
Ge: 0.500 0.500 0.500



Record 5
The following is a DFT calculation (PBE) of an optimized crystal structure of LaYZnGe.

Computed properties:
Electronic total energy in eV per atom: -4.868
Formation enthalpy at 0 K in kJ per mole of atoms: -53
Total magnetic moment in μB/f.u.: 0.00

a b c (Å): 5.168 5.168 5.168
angles (deg): 60.00 60.00 60.00
Fractional positions:
La: 0.000 0.000 0.000
Y: 0.500 0.500 0.500
Zn: 0.250 0.250 0.250
Ge: 0.750 0.750 0.750



Record 6
The following is a DFT calculation (PBE) of an optimized crystal structure of La2ZnGe2.

Computed properties:
Electronic total energy in eV per atom: -4.798
Formation enthalpy at 0 K in kJ per mole of atoms: -70
Total magnetic moment in μB/f.u.: 0.00

a b c (Å): 6.075 6.075 10.967
angles (deg): 110.62 110.62 41.77
Fractional positions:
La: 0.089 0.089 0.413
La: 0.304 0.304 0.855
La: 0.696 0.696 0.145
La: 0.911 0.911 0.587
Zn: 0.423 0.423 0.184
Zn: 0.577 0.577 0.816
Ge: 0.044 0.044 0.911
Ge: 0.342 0.342 0.363
Ge: 0.658 0.658 0.637
Ge: 0.956 0.956 0.089



Record 7
The following is a DFT calculation (PBE) of an optimized crystal structure of La2Zn2Ge.

Computed properties:
Energy relative to the lowest polymorph listed for this composition in meV/atom: 198
Electronic total energy in eV per atom: -3.722
Formation enthalpy at 0 K in kJ per mole of atoms: -31
Total magnetic moment in μB/f.u.: 0.00

a b c (Å): 9.765 9.765 9.765
angles (deg): 158.30 158.30 30.88
Fractional positions:
La: 0.100 0.100 0.000
La: 0.900 0.900 0.000
Zn: 0.250 0.750 0.500
Zn: 0.750 0.250 0.500
Ge: 0.500 0.500 0.000



Record 8
The following is a DFT calculation (PBE) of an optimized crystal structure of La3Zn6Ge5.

Computed properties:
Electronic total energy in eV per atom: -3.741
Formation enthalpy at 0 K in kJ per mole of atoms: -47
Total magnetic moment in μB/f.u.: 0.00

a b c (Å): 4.256 12.768 10.499
angles (deg): 90.00 90.00 90.00
Fractional positions:
La: 0.250 0.084 0.249
La: 0.250 0.416 0.249
La: 0.250 0.750 0.249
La: 0.750 0.250 0.751
La: 0.750 0.584 0.751
La: 0.750 0.916 0.751
Zn: 0.250 0.080 0.885
Zn: 0.250 0.250 0.017
Zn: 0.250 0.250 0.499
Zn: 0.250 0.420 0.885
Zn: 0.250 0.588 0.502
Zn: 0.250 0.912 0.502
Zn: 0.750 0.088 0.498
Zn: 0.750 0.412 0.498
Zn: 0.750 0.580 0.115
Zn: 0.750 0.750 0.501
Zn: 0.750 0.750 0.983
Zn: 0.750 0.920 0.115
Ge: 0.250 0.082 0.643
Ge: 0.250 0.418 0.643
Ge: 0.250 0.612 0.980
Ge: 0.250 0.750 0.657
Ge: 0.250 0.888 0.980
Ge: 0.750 0.112 0.020
Ge: 0.750 0.250 0.343
Ge: 0.750 0.388 0.020
Ge: 0.750 0.582 0.357
Ge: 0.750 0.918 0.357